# Ac2Mg4CdSn3, optimized geometry, DFT PBE
# - Formation energy: -431 meV/atom
# - Total moment: 0.00 Bohr magnetons per cell
data_Ac2Mg4CdSn3
_chemical_formula_sum 'Ac2 Mg4 Cd1 Sn3'
_cell_length_a 4.796
_cell_length_b 4.796
_cell_length_c 11.987
_cell_angle_alpha 90.00
_cell_angle_beta 90.00
_cell_angle_gamma 90.00
_symmetry_space_group_name_H-M 'P -4 m 2'
_symmetry_Int_Tables_number 115
loop_
_symmetry_equiv_pos_as_xyz
'x,y,z'
'y,-x,-z'
'-x,-y,z'
'-y,x,-z'
'-x,y,z'
'-y,-x,-z'
'x,-y,z'
'y,x,-z'
loop_
_atom_site_label
_atom_site_fract_x
_atom_site_fract_y
_atom_site_fract_z
_atom_site_occupancy
Ac1 0.000 0.500 0.240 1
Mg1 0.000 0.000 0.500 1
Mg2 0.000 0.500 0.872 1
Mg3 0.500 0.500 0.500 1
Cd1 0.500 0.500 0.000 1
Sn1 0.000 0.000 0.000 1
Sn2 0.000 0.500 0.641 1